# 1
# Zr4CrNi, optimized geometry, DFT PBE
# Energy relative to the elements   0.69 eV per atom
# Space-group type   F-43m, No. 216
data_Zr4CrNi
_chemical_formula_sum 'Zr4 Cr1 Ni1'
_symmetry_space_group_name_H-M 'P 1'
_symmetry_Int_Tables_number 1
_cell_length_a 5.634
_cell_length_b 5.634
_cell_length_c 5.634
_cell_angle_alpha 60.00
_cell_angle_beta 60.00
_cell_angle_gamma 60.00
loop_
_symmetry_equiv_pos_as_xyz
'x,y,z'
loop_
_atom_site_label
_atom_site_fract_x
_atom_site_fract_y
_atom_site_fract_z
Zr1 0.125 0.125 0.125
Zr2 0.125 0.125 0.626
Zr3 0.125 0.626 0.125
Zr4 0.626 0.125 0.125
Cr1 0.750 0.750 0.750
Ni1 0.500 0.500 0.500


# 2
# ZrCr2Ni, optimized geometry, DFT PBE
# ΔE to the lowest computed polymorph   227 meV per atom
# Energy relative to the elements   0.27 eV per atom
# Space-group type   P4/mmm, No. 123
data_ZrCr2Ni
_chemical_formula_sum 'Zr1 Cr2 Ni1'
_symmetry_space_group_name_H-M 'P 1'
_symmetry_Int_Tables_number 1
_cell_length_a 3.140
_cell_length_b 3.140
_cell_length_c 5.948
_cell_angle_alpha 90.00
_cell_angle_beta 90.00
_cell_angle_gamma 90.00
loop_
_symmetry_equiv_pos_as_xyz
'x,y,z'
loop_
_atom_site_label
_atom_site_fract_x
_atom_site_fract_y
_atom_site_fract_z
Zr1 0.000 0.000 0.000
Cr1 0.500 0.500 0.325
Cr2 0.500 0.500 0.675
Ni1 0.000 0.000 0.500


# 3
# ZrCr2Ni, optimized geometry, DFT PBE
# ΔE to the lowest computed polymorph   526 meV per atom
# Energy relative to the elements   0.57 eV per atom
# Space-group type   R-3m, No. 166
data_ZrCr2Ni
_chemical_formula_sum 'Zr1 Cr2 Ni1'
_symmetry_space_group_name_H-M 'P 1'
_symmetry_Int_Tables_number 1
_cell_length_a 8.945
_cell_length_b 8.945
_cell_length_c 8.945
_cell_angle_alpha 18.14
_cell_angle_beta 18.14
_cell_angle_gamma 18.14
loop_
_symmetry_equiv_pos_as_xyz
'x,y,z'
loop_
_atom_site_label
_atom_site_fract_x
_atom_site_fract_y
_atom_site_fract_z
Zr1 0.000 0.000 0.000
Cr1 0.239 0.239 0.239
Cr2 0.761 0.761 0.761
Ni1 0.500 0.500 0.500


# 4
# ZrCr2Ni, optimized geometry, DFT PBE
# ΔE to the lowest computed polymorph   172 meV per atom
# Energy relative to the elements   0.22 eV per atom
# Space-group type   C2/m, No. 12
data_ZrCr2Ni
_chemical_formula_sum 'Zr1 Cr2 Ni1'
_symmetry_space_group_name_H-M 'P 1'
_symmetry_Int_Tables_number 1
_cell_length_a 4.822
_cell_length_b 4.822
_cell_length_c 4.481
_cell_angle_alpha 103.83
_cell_angle_beta 103.83
_cell_angle_gamma 35.15
loop_
_symmetry_equiv_pos_as_xyz
'x,y,z'
loop_
_atom_site_label
_atom_site_fract_x
_atom_site_fract_y
_atom_site_fract_z
Zr1 0.000 0.000 0.000
Cr1 0.231 0.231 0.677
Cr2 0.769 0.769 0.323
Ni1 0.500 0.500 0.500


# 5
# ZrCr2Ni, optimized geometry, DFT PBE
# ΔE to the lowest computed polymorph   272 meV per atom
# Energy relative to the elements   0.32 eV per atom
# Space-group type   C2/m, No. 12
data_ZrCr2Ni
_chemical_formula_sum 'Zr1 Cr2 Ni1'
_symmetry_space_group_name_H-M 'P 1'
_symmetry_Int_Tables_number 1
_cell_length_a 5.116
_cell_length_b 5.116
_cell_length_c 2.653
_cell_angle_alpha 100.59
_cell_angle_beta 100.59
_cell_angle_gamma 119.89
loop_
_symmetry_equiv_pos_as_xyz
'x,y,z'
loop_
_atom_site_label
_atom_site_fract_x
_atom_site_fract_y
_atom_site_fract_z
Zr1 0.000 0.000 0.000
Cr1 0.000 0.500 0.500
Cr2 0.500 0.000 0.500
Ni1 0.500 0.500 0.000


# 6
# ZrCr2Ni, optimized geometry, DFT PBE
# ΔE to the lowest computed polymorph   200 meV per atom
# Energy relative to the elements   0.25 eV per atom
# Space-group type   Immm, No. 71
data_ZrCr2Ni
_chemical_formula_sum 'Zr1 Cr2 Ni1'
_symmetry_space_group_name_H-M 'P 1'
_symmetry_Int_Tables_number 1
_cell_length_a 5.049
_cell_length_b 5.049
_cell_length_c 5.049
_cell_angle_alpha 143.18
_cell_angle_beta 132.08
_cell_angle_gamma 61.92
loop_
_symmetry_equiv_pos_as_xyz
'x,y,z'
loop_
_atom_site_label
_atom_site_fract_x
_atom_site_fract_y
_atom_site_fract_z
Zr1 0.000 0.000 0.000
Cr1 0.251 0.751 0.500
Cr2 0.749 0.249 0.500
Ni1 0.500 0.500 0.000


# 7
# ZrCr2Ni, optimized geometry, DFT PBE
# ΔE to the lowest computed polymorph   323 meV per atom
# Energy relative to the elements   0.37 eV per atom
# Space-group type   Fm-3m, No. 225
data_ZrCr2Ni
_chemical_formula_sum 'Zr1 Cr2 Ni1'
_symmetry_space_group_name_H-M 'P 1'
_symmetry_Int_Tables_number 1
_cell_length_a 4.318
_cell_length_b 4.318
_cell_length_c 4.318
_cell_angle_alpha 60.00
_cell_angle_beta 60.00
_cell_angle_gamma 60.00
loop_
_symmetry_equiv_pos_as_xyz
'x,y,z'
loop_
_atom_site_label
_atom_site_fract_x
_atom_site_fract_y
_atom_site_fract_z
Zr1 0.000 0.000 0.000
Cr1 0.250 0.250 0.250
Cr2 0.750 0.750 0.750
Ni1 0.500 0.500 0.500


# 8
# Zr3CrNi, optimized geometry, DFT PBE
# ΔE to the lowest computed polymorph   0 meV per atom
# Energy relative to the elements   0.73 eV per atom
# Space-group type   Pm-3m, No. 221
data_Zr3CrNi
_chemical_formula_sum 'Zr3 Cr1 Ni1'
_symmetry_space_group_name_H-M 'P 1'
_symmetry_Int_Tables_number 1
_cell_length_a 4.766
_cell_length_b 4.766
_cell_length_c 4.766
_cell_angle_alpha 90.00
_cell_angle_beta 90.00
_cell_angle_gamma 90.00
loop_
_symmetry_equiv_pos_as_xyz
'x,y,z'
loop_
_atom_site_label
_atom_site_fract_x
_atom_site_fract_y
_atom_site_fract_z
Zr1 0.000 0.000 0.500
Zr2 0.000 0.500 0.000
Zr3 0.500 0.000 0.000
Cr1 0.000 0.000 0.000
Ni1 0.500 0.500 0.500


V values (in Å³/cell) by entry order: 126.5 58.6 60.6 58.1 56.0 56.6 56.9 108.2.